# Ac5Sn2IrN | the Alexandria database | PBE-GGA | relaxed
data_Ac5Sn2IrN
_cell_length_a 4.647
_cell_length_b 19.380
_cell_length_c 13.533
_cell_angle_alpha 90.00
_cell_angle_beta 90.00
_cell_angle_gamma 90.00
_space_group_name_H-M_alt 'C m c 21'
_space_group_IT_number 36
loop_
_space_group_symop_operation_xyz
'x,y,z'
'-x,-y,z+1/2'
'-x,y,z'
'x,-y,z+1/2'
'x+1/2,y+1/2,z'
'-x+1/2,-y+1/2,z+1/2'
'-x+1/2,y+1/2,z'
'x+1/2,-y+1/2,z+1/2'
loop_
_atom_site_label
_atom_site_fract_x
_atom_site_fract_y
_atom_site_fract_z
_atom_site_occupancy
Ac1 0.000 0.006 0.000 1
Ac2 0.000 0.156 0.230 1
Ac3 0.000 0.175 0.607 1
Ac4 0.000 0.213 0.896 1
Ac5 0.000 0.462 0.234 1
Sn1 0.000 0.369 0.546 1
Sn2 0.000 0.390 0.910 1
Ir1 0.000 0.304 0.253 1
N1 0.000 0.047 0.657 1
# **Formation energy from raw total energies**: -0.765 eV per atom
# **Magnetization**: 0.0 Bohr magnetons per cell


# Ac8Te4Ir3N | the Alexandria database | PBE-GGA | relaxed
data_Ac8Te4Ir3N
_cell_length_a 8.7555
_cell_length_b 8.7555
_cell_length_c 23.5875
_cell_angle_alpha 90.00
_cell_angle_beta 90.00
_cell_angle_gamma 120.00
_space_group_name_H-M_alt 'R -3 m'
_space_group_IT_number 166
_space_group_name_Hall '-R 3 2"'
loop_
_atom_site_label
_atom_site_fract_x
_atom_site_fract_y
_atom_site_fract_z
_atom_site_occupancy
Ac1 0.0000 0.0000 0.2373 1
Ac2 0.0117 0.5059 0.2335 1
Te1 0.0000 0.0000 0.0000 1
Te2 0.0000 0.5000 0.0000 1
Ir1 0.0000 0.5000 0.5000 1
N1 0.0000 0.0000 0.5000 1
# **Formation energy from raw total energies**: -1.118 eV per atom
# **Magnetization**: 0.0 Bohr magnetons per cell


# Ac5Tl2IrN | the Alexandria database | PBE-GGA | relaxed
data_Ac5Tl2IrN
_cell_length_a 4.297
_cell_length_b 19.890
_cell_length_c 14.833
_cell_angle_alpha 90.00
_cell_angle_beta 90.00
_cell_angle_gamma 90.00
_space_group_name_H-M_alt 'C m c 21'
_space_group_IT_number 36
loop_
_space_group_symop_operation_xyz
'x,y,z'
'-x,-y,z+1/2'
'-x,y,z'
'x,-y,z+1/2'
'x+1/2,y+1/2,z'
'-x+1/2,-y+1/2,z+1/2'
'-x+1/2,y+1/2,z'
'x+1/2,-y+1/2,z+1/2'
loop_
_atom_site_label
_atom_site_fract_x
_atom_site_fract_y
_atom_site_fract_z
_atom_site_occupancy
Ac1 0.000 0.004 0.000 1
Ac2 0.000 0.158 0.217 1
Ac3 0.000 0.176 0.599 1
Ac4 0.000 0.210 0.876 1
Ac5 0.000 0.460 0.227 1
Tl1 0.000 0.362 0.535 1
Tl2 0.000 0.387 0.896 1
Ir1 0.000 0.302 0.238 1
N1 0.000 0.050 0.642 1
# **Formation energy from raw total energies**: -0.602 eV per atom
# **Magnetization**: 0.0 Bohr magnetons per cell


# Ac3Zn2Ir2N3 | the Alexandria database | PBE-GGA | relaxed
data_Ac3Zn2Ir2N3
_cell_length_a 4.012
_cell_length_b 4.012
_cell_length_c 24.219
_cell_angle_alpha 90.00
_cell_angle_beta 90.00
_cell_angle_gamma 90.00
_space_group_name_H-M_alt 'I 4/m m m'
_space_group_IT_number 139
_space_group_name_Hall '-I 4 2'
loop_
_atom_site_label
_atom_site_fract_x
_atom_site_fract_y
_atom_site_fract_z
_atom_site_occupancy
Ac1 0.000 0.000 0.000 1
Ac2 0.000 0.000 0.386 1
Zn1 0.000 0.500 0.250 1
Ir1 0.000 0.000 0.184 1
N1 0.000 0.000 0.103 1
N2 0.000 0.000 0.500 1
# **Formation energy from raw total energies**: -0.634 eV per atom
# **Magnetization**: 0.0 Bohr magnetons per cell


# NaAc3Ir8 | the Alexandria database | PBE-GGA | relaxed
data_NaAc3Ir8
_cell_length_a 5.5137
_cell_length_b 5.5137
_cell_length_c 27.0156
_cell_angle_alpha 90.00
_cell_angle_beta 90.00
_cell_angle_gamma 120.00
_space_group_name_H-M_alt 'R 3 m'
_space_group_IT_number 160
_space_group_name_Hall 'R 3 -2"'
loop_
_atom_site_label
_atom_site_fract_x
_atom_site_fract_y
_atom_site_fract_z
_atom_site_occupancy
Na1 0.0000 0.0000 0.0000 1
Ac1 0.0000 0.0000 0.1211 1
Ac2 0.0000 0.0000 0.5028 1
Ac3 0.0000 0.0000 0.6314 1
Ir1 0.0000 0.0000 0.3144 1
Ir2 0.0000 0.0000 0.8142 1
Ir3 0.0011 0.5005 0.0635 1
Ir4 0.0022 0.5011 0.5653 1
# **ΔE_f**: -0.402 eV per atom
# **Magnetization**: 0.0 Bohr magnetons per cell


# NaAc3Ir | the Alexandria database | PBE-GGA | relaxed
data_NaAc3Ir
_cell_length_a 5.950
_cell_length_b 5.950
_cell_length_c 5.950
_cell_angle_alpha 90.00
_cell_angle_beta 90.00
_cell_angle_gamma 90.00
_space_group_name_H-M_alt 'P m -3 m'
_space_group_IT_number 221
_space_group_name_Hall '-P 4 2 3'
loop_
_atom_site_label
_atom_site_fract_x
_atom_site_fract_y
_atom_site_fract_z
_atom_site_occupancy
Na1 0.000 0.000 0.000 1
Ac1 0.000 0.500 0.500 1
Ir1 0.500 0.500 0.500 1
# **ΔE_f**: -0.286 eV per atom
# **Magnetization**: 0.0 Bohr magnetons per cell


# NaAcIr | the Alexandria database | PBE-GGA | relaxed
data_NaAcIr
_cell_length_a 7.007
_cell_length_b 7.007
_cell_length_c 7.007
_cell_angle_alpha 90.00
_cell_angle_beta 90.00
_cell_angle_gamma 90.00
_space_group_name_H-M_alt 'F -4 3 m'
_space_group_IT_number 216
_space_group_name_Hall 'F -4 2 3'
loop_
_atom_site_label
_atom_site_fract_x
_atom_site_fract_y
_atom_site_fract_z
_atom_site_occupancy
Na1 0.000 0.000 0.000 1
Ac1 0.000 0.000 0.500 1
Ir1 0.250 0.250 0.250 1
# **ΔE_f**: -0.083 eV per atom
# **ΔE to the lowest computed polymorph**: 0.31 eV per formula unit
# **Magnetization**: 0.0 Bohr magnetons per cell


# NaAc2Ir | the Alexandria database | PBE-GGA | relaxed
data_NaAc2Ir
_cell_length_a 4.3784
_cell_length_b 4.3784
_cell_length_c 29.0700
_cell_angle_alpha 90.00
_cell_angle_beta 90.00
_cell_angle_gamma 120.00
_space_group_name_H-M_alt 'R 3 m'
_space_group_IT_number 160
_space_group_name_Hall 'R 3 -2"'
loop_
_atom_site_label
_atom_site_fract_x
_atom_site_fract_y
_atom_site_fract_z
_atom_site_occupancy
Na1 0.0000 0.0000 0.0000 1
Ac1 0.0000 0.0000 0.2214 1
Ac2 0.0000 0.0000 0.4466 1
Ir1 0.0000 0.0000 0.8342 1
# **ΔE_f**: -0.421 eV per atom
# **Magnetization**: 0.0 Bohr magnetons per cell


# NaAc2Ir | the Alexandria database | PBE-GGA | relaxed
data_NaAc2Ir
_cell_length_a 3.788
_cell_length_b 3.788
_cell_length_c 9.753
_cell_angle_alpha 90.00
_cell_angle_beta 90.00
_cell_angle_gamma 90.00
_space_group_name_H-M_alt 'P 4/m m m'
_space_group_IT_number 123
_space_group_name_Hall '-P 4 2'
loop_
_atom_site_label
_atom_site_fract_x
_atom_site_fract_y
_atom_site_fract_z
_atom_site_occupancy
Na1 0.000 0.000 0.000 1
Ac1 0.500 0.500 0.323 1
Ir1 0.000 0.000 0.500 1
# **ΔE_f**: -0.250 eV per atom
# **Magnetization**: 0.0 Bohr magnetons per cell


# NaAc6Ir4 | the Alexandria database | PBE-GGA | relaxed
data_NaAc6Ir4
_cell_length_a 6.218
_cell_length_b 6.218
_cell_length_c 16.899
_cell_angle_alpha 90.00
_cell_angle_beta 90.00
_cell_angle_gamma 90.00
_space_group_name_H-M_alt 'I -4 2 m'
_space_group_IT_number 121
_space_group_name_Hall 'I -4 2'
loop_
_atom_site_label
_atom_site_fract_x
_atom_site_fract_y
_atom_site_fract_z
_atom_site_occupancy
Na1 0.000 0.000 0.000 1
Ac1 0.000 0.500 0.000 1
Ac2 0.238 0.238 0.680 1
Ir1 0.237 0.237 0.864 1
# **ΔE_f**: -0.393 eV per atom
# **Magnetization**: 0.0 Bohr magnetons per cell